Below is a geometry-optimized Na2GePCO7 structure, with properties calculated at the PBE-GGA level.

extended XYZ file:
```
24
Lattice="5.461 0.000 0.000 0.000 6.545 0.000 -0.286 0.000 9.191" Properties=species:S:1:pos:R:3 pbc="T T T"
Na 1.200 0.061 2.485
Na 1.200 3.211 2.485
Na 3.976 3.334 6.706
Na 3.976 6.483 6.706
Ge 1.551 1.636 7.880
Ge 3.625 4.908 1.312
P 0.995 4.908 8.411
P 4.180 1.636 0.781
C 1.158 1.636 5.399
C 4.018 4.908 3.792
O 0.241 1.636 0.923
O 0.120 1.636 6.211
O 1.086 1.636 4.153
O 1.678 4.908 0.747
O 1.666 3.678 7.715
O 1.666 6.139 7.715
O 2.323 1.636 6.060
O 2.852 4.908 3.132
O 3.509 0.406 1.477
O 3.509 2.867 1.477
O 3.497 1.636 8.444
O 4.089 4.908 5.038
O 5.056 4.908 2.981
O 4.934 4.908 8.269
```

Summary:
E_tot: -6.4871 eV per atom
M_tot: 0.0 μB per formula unit
SG: P2_1/m (11)
D(E_F): 5.44 states/eV/cell
Crystal system: monoclinic
Formation energy (no corrections): -21.2 eV per formula unit